(1)
# LaPa2Re9 | Alexandria | PBE | relaxed
data_LaPa2Re9
_cell_length_a 9.637
_cell_length_b 9.637
_cell_length_c 9.637
_cell_angle_alpha 32.05
_cell_angle_beta 32.05
_cell_angle_gamma 32.05
_space_group_name_H-M_alt 'P 1'
_space_group_IT_number 1
loop_
_space_group_symop_operation_xyz
'x,y,z'
loop_
_atom_site_label
_atom_site_type_symbol
_atom_site_fract_x
_atom_site_fract_y
_atom_site_fract_z
_atom_site_occupancy
La1 La 0.000 0.000 0.000 1
Pa1 Pa 0.146 0.146 0.146 1
Pa2 Pa 0.854 0.854 0.854 1
Re1 Re 0.078 0.586 0.586 1
Re2 Re 0.336 0.336 0.336 1
Re3 Re 0.414 0.414 0.922 1
Re4 Re 0.414 0.922 0.414 1
Re5 Re 0.500 0.500 0.500 1
Re6 Re 0.586 0.078 0.586 1
Re7 Re 0.586 0.586 0.078 1
Re8 Re 0.664 0.664 0.664 1
Re9 Re 0.922 0.414 0.414 1
# Space group: R-3m, No. 166
# Energy of formation from the pure elements in eV/atom: 0.01
# Total magnetization in μB per cell: 0.00



(2)
# LaPaReSi2 | Alexandria | PBE | relaxed
data_LaPaReSi2
_cell_length_a 6.877
_cell_length_b 6.877
_cell_length_c 6.877
_cell_angle_alpha 144.92
_cell_angle_beta 144.92
_cell_angle_gamma 50.45
_space_group_name_H-M_alt 'P 1'
_space_group_IT_number 1
loop_
_space_group_symop_operation_xyz
'x,y,z'
loop_
_atom_site_label
_atom_site_type_symbol
_atom_site_fract_x
_atom_site_fract_y
_atom_site_fract_z
_atom_site_occupancy
La1 La 0.000 0.000 0.000 1
Pa1 Pa 0.250 0.750 0.500 1
Re1 Re 0.750 0.250 0.500 1
Si1 Si 0.403 0.403 0.000 1
Si2 Si 0.597 0.597 0.000 1
# Space group: I-4m2, No. 119
# Total magnetization in μB per cell: 0.00
# Energy in eV per cell: -39.704



(3)
# La3PaRh3 | Alexandria | PBE | relaxed
data_La3PaRh3
_cell_length_a 12.935
_cell_length_b 4.126
_cell_length_c 14.312
_cell_angle_alpha 90.00
_cell_angle_beta 90.00
_cell_angle_gamma 90.00
_space_group_name_H-M_alt 'P 1'
_space_group_IT_number 1
loop_
_space_group_symop_operation_xyz
'x,y,z'
loop_
_atom_site_label
_atom_site_type_symbol
_atom_site_fract_x
_atom_site_fract_y
_atom_site_fract_z
_atom_site_occupancy
La1 La 0.088 0.250 0.091 1
La2 La 0.141 0.750 0.515 1
La3 La 0.230 0.750 0.807 1
La4 La 0.270 0.250 0.307 1
La5 La 0.359 0.250 0.015 1
La6 La 0.412 0.750 0.591 1
La7 La 0.588 0.250 0.409 1
La8 La 0.641 0.750 0.985 1
La9 La 0.730 0.750 0.693 1
La10 La 0.770 0.250 0.193 1
La11 La 0.859 0.250 0.485 1
La12 La 0.912 0.750 0.909 1
Pa1 Pa 0.028 0.250 0.708 1
Pa2 Pa 0.472 0.750 0.208 1
Pa3 Pa 0.528 0.250 0.792 1
Pa4 Pa 0.972 0.750 0.292 1
Rh1 Rh 0.057 0.250 0.380 1
Rh2 Rh 0.076 0.250 0.880 1
Rh3 Rh 0.221 0.250 0.651 1
Rh4 Rh 0.279 0.750 0.151 1
Rh5 Rh 0.424 0.750 0.380 1
Rh6 Rh 0.443 0.750 0.880 1
Rh7 Rh 0.557 0.250 0.120 1
Rh8 Rh 0.576 0.250 0.620 1
Rh9 Rh 0.721 0.250 0.849 1
Rh10 Rh 0.779 0.750 0.349 1
Rh11 Rh 0.924 0.750 0.120 1
Rh12 Rh 0.943 0.750 0.620 1
# Space group: Pnma, No. 62
# Energy of formation from the pure elements in eV/atom: -0.63
# Total magnetization in μB per cell: 0.00



(4)
# La2PaRh4 | Alexandria | PBE | relaxed
data_La2PaRh4
_cell_length_a 8.122
_cell_length_b 8.116
_cell_length_c 4.565
_cell_angle_alpha 73.74
_cell_angle_beta 73.60
_cell_angle_gamma 32.66
_space_group_name_H-M_alt 'P 1'
_space_group_IT_number 1
loop_
_space_group_symop_operation_xyz
'x,y,z'
loop_
_atom_site_label
_atom_site_type_symbol
_atom_site_fract_x
_atom_site_fract_y
_atom_site_fract_z
_atom_site_occupancy
La1 La 0.224 0.224 0.776 1
La2 La 0.776 0.776 0.224 1
Pa1 Pa 0.500 0.500 0.500 1
Rh1 Rh 0.100 0.100 0.400 1
Rh2 Rh 0.400 0.400 0.100 1
Rh3 Rh 0.600 0.600 0.900 1
Rh4 Rh 0.900 0.900 0.600 1
# Space group: Fmmm, No. 69
# Energy of formation from the pure elements in eV/atom: -0.48
# Total magnetization in μB per cell: 0.00



(5)
# LaPaRh3 | Alexandria | PBE | relaxed
data_LaPaRh3
_cell_length_a 5.953
_cell_length_b 5.953
_cell_length_c 8.465
_cell_angle_alpha 110.53
_cell_angle_beta 110.53
_cell_angle_gamma 59.99
_space_group_name_H-M_alt 'P 1'
_space_group_IT_number 1
loop_
_space_group_symop_operation_xyz
'x,y,z'
loop_
_atom_site_label
_atom_site_type_symbol
_atom_site_fract_x
_atom_site_fract_y
_atom_site_fract_z
_atom_site_occupancy
La1 La 0.000 0.000 0.000 1
La2 La 0.231 0.231 0.692 1
Pa1 Pa 0.623 0.623 0.870 1
Pa2 Pa 0.785 0.785 0.355 1
Rh1 Rh 0.065 0.522 0.110 1
Rh2 Rh 0.203 0.709 0.620 1
Rh3 Rh 0.522 0.065 0.110 1
Rh4 Rh 0.523 0.523 0.110 1
Rh5 Rh 0.709 0.203 0.620 1
Rh6 Rh 0.710 0.710 0.619 1
# Space group: Cm, No. 8
# Energy of formation from the pure elements in eV/atom: -0.58
# Total magnetization in μB per cell: 0.00
# Polymorph energy (0 for the lowest one) in eV per formula unit: 0.829



(6)
# LaPaRh3 | Alexandria | PBE | relaxed
data_LaPaRh3
_cell_length_a 4.219
_cell_length_b 5.570
_cell_length_c 9.259
_cell_angle_alpha 90.00
_cell_angle_beta 90.02
_cell_angle_gamma 90.00
_space_group_name_H-M_alt 'P 1'
_space_group_IT_number 1
loop_
_space_group_symop_operation_xyz
'x,y,z'
loop_
_atom_site_label
_atom_site_type_symbol
_atom_site_fract_x
_atom_site_fract_y
_atom_site_fract_z
_atom_site_occupancy
La1 La 0.002 0.250 0.348 1
La2 La 0.998 0.750 0.652 1
Pa1 Pa 0.499 0.250 0.837 1
Pa2 Pa 0.501 0.750 0.163 1
Rh1 Rh 0.000 0.000 0.000 1
Rh2 Rh 0.000 0.500 0.000 1
Rh3 Rh 0.498 0.750 0.426 1
Rh4 Rh 0.500 0.250 0.125 1
Rh5 Rh 0.500 0.750 0.875 1
Rh6 Rh 0.502 0.250 0.574 1
# Space group: P2_1/m, No. 11
# Energy of formation from the pure elements in eV/atom: -0.75
# Total magnetization in μB per cell: 0.00
# Polymorph energy (0 for the lowest one) in eV per formula unit: 0.000



(7)
# LaPaRh2 | Alexandria | PBE | relaxed
data_LaPaRh2
_cell_length_a 3.491
_cell_length_b 3.491
_cell_length_c 7.309
_cell_angle_alpha 90.00
_cell_angle_beta 90.00
_cell_angle_gamma 90.00
_space_group_name_H-M_alt 'P 1'
_space_group_IT_number 1
loop_
_space_group_symop_operation_xyz
'x,y,z'
loop_
_atom_site_label
_atom_site_type_symbol
_atom_site_fract_x
_atom_site_fract_y
_atom_site_fract_z
_atom_site_occupancy
La1 La 0.000 0.000 0.000 1
Pa1 Pa 0.000 0.000 0.500 1
Rh1 Rh 0.500 0.500 0.299 1
Rh2 Rh 0.500 0.500 0.701 1
# Space group: P4/mmm, No. 123
# Energy of formation from the pure elements in eV/atom: -0.71
# Total magnetization in μB per cell: 0.00
# Polymorph energy (0 for the lowest one) in eV per formula unit: 0.149



(8)
# La5PaRh4 | Alexandria | PBE | relaxed
data_La5PaRh4
_cell_length_a 8.652
_cell_length_b 8.652
_cell_length_c 7.523
_cell_angle_alpha 90.31
_cell_angle_beta 90.31
_cell_angle_gamma 29.34
_space_group_name_H-M_alt 'P 1'
_space_group_IT_number 1
loop_
_space_group_symop_operation_xyz
'x,y,z'
loop_
_atom_site_label
_atom_site_type_symbol
_atom_site_fract_x
_atom_site_fract_y
_atom_site_fract_z
_atom_site_occupancy
La1 La 0.000 0.000 0.000 1
La2 La 0.326 0.326 0.102 1
La3 La 0.333 0.333 0.605 1
La4 La 0.667 0.667 0.395 1
La5 La 0.674 0.674 0.898 1
Pa1 Pa 0.000 0.000 0.500 1
Rh1 Rh 0.146 0.146 0.661 1
Rh2 Rh 0.487 0.487 0.291 1
Rh3 Rh 0.513 0.513 0.709 1
Rh4 Rh 0.854 0.854 0.339 1
# Space group: C2/m, No. 12
# Energy of formation from the pure elements in eV/atom: -0.63
# Total magnetization in μB per cell: 0.00